Entry 1:
The following is a DFT calculation (PBE-GGA) of a relaxed LiTaSi crystal.

```
LiTaSi
1.0
3.464 0.000 0.000
0.000 4.250 0.000
0.000 0.000 13.092
Li Ta Si
4 4 4
direct
0.000 0.000 0.000 Li
0.000 0.500 0.500 Li
0.500 0.000 0.500 Li
0.500 0.500 0.000 Li
0.000 0.000 0.693 Ta
0.000 0.500 0.193 Ta
0.500 0.000 0.193 Ta
0.500 0.500 0.693 Ta
0.000 0.000 0.348 Si
0.000 0.500 0.848 Si
0.500 0.000 0.848 Si
0.500 0.500 0.348 Si
```

## Properties
formation energy without anion corrections	-0.06	eV per formula unit
E	-6.4157	eV per atom

---

Entry 2:
The following is a DFT calculation (PBE-GGA) of a relaxed Pa2Ga2Si4Ir crystal.

```
Pa2Ga2Si4Ir
1.0
-3.061 3.061 4.207
3.061 -3.061 4.207
3.061 3.061 -4.207
Pa Ga Si Ir
2 2 4 1
direct
0.250 0.750 0.500 Pa
0.750 0.250 0.500 Pa
0.207 0.207 0.000 Ga
0.793 0.793 0.000 Ga
0.220 0.220 0.441 Si
0.220 0.780 0.000 Si
0.780 0.220 0.000 Si
0.780 0.780 0.559 Si
0.500 0.500 0.000 Ir
```

## Properties
formation energy without anion corrections	-4.25	eV per formula unit
E	-6.6503	eV per atom